#A
{"formula": "NdY2Sc2", "functional": "GGA-PBE", "state": "relaxed", "total_magnetization_mub_per_fu": 0.0, "n_ef_per_ev_atom": 1.851, "lattice_angstrom": [[0.000, 5.570, 10.606], [2.868, 0.000, 10.606], [2.868, 5.570, 0.000]], "species": ["Nd", "Nd", "Y", "Y", "Y", "Y", "Sc", "Sc", "Sc", "Sc"], "frac_coords": [[0.125, 0.125, 0.125], [0.875, 0.875, 0.875], [0.210, 0.540, 0.210], [0.460, 0.790, 0.460], [0.540, 0.210, 0.540], [0.790, 0.460, 0.790], [0.000, 0.000, 0.000], [0.000, 0.000, 0.500], [0.000, 0.500, 0.000], [0.500, 0.000, 0.000]]}



#B
{"formula": "NdY2Sc2", "functional": "GGA-PBE", "state": "relaxed", "total_magnetization_mub_per_fu": 0.0, "n_ef_per_ev_atom": 1.784, "lattice_angstrom": [[-2.744, 3.390, 8.118], [2.744, -3.390, 8.118], [2.744, 3.390, -8.118]], "species": ["Nd", "Nd", "Y", "Y", "Y", "Y", "Sc", "Sc", "Sc", "Sc"], "frac_coords": [[0.377, 0.127, 0.250], [0.623, 0.873, 0.750], [0.127, 0.877, 0.250], [0.254, 0.504, 0.750], [0.746, 0.496, 0.250], [0.873, 0.123, 0.750], [0.188, 0.693, 0.495], [0.303, 0.307, 0.995], [0.697, 0.693, 0.005], [0.812, 0.307, 0.505]]}



Verdict on stability: #A comes out at the bottom.



#A
{"formula": "Nd3Y2Sc2", "functional": "GGA-PBE", "state": "relaxed", "total_magnetization_mub_per_fu": 0.0, "n_ef_per_ev_atom": 1.685, "lattice_angstrom": [[8.614, -1.731, 0.000], [8.614, 1.731, 0.000], [-3.979, 0.000, 7.380]], "species": ["Nd", "Nd", "Nd", "Y", "Y", "Sc", "Sc"], "frac_coords": [[0.000, 0.000, 0.000], [0.213, 0.213, 0.301], [0.787, 0.787, 0.699], [0.138, 0.138, 0.810], [0.862, 0.862, 0.190], [0.436, 0.436, 0.590], [0.564, 0.564, 0.410]]}



#B
{"formula": "Nd3Y2Sc2", "functional": "GGA-PBE", "state": "relaxed", "total_magnetization_mub_per_fu": 0.0, "n_ef_per_ev_atom": 1.563, "lattice_angstrom": [[5.557, -2.498, 0.000], [5.557, 2.498, 0.000], [-1.176, 0.000, 7.841]], "species": ["Nd", "Nd", "Nd", "Y", "Y", "Sc", "Sc"], "frac_coords": [[0.000, 0.000, 0.000], [0.286, 0.286, 0.856], [0.714, 0.714, 0.144], [0.140, 0.140, 0.429], [0.860, 0.860, 0.571], [0.428, 0.428, 0.295], [0.572, 0.572, 0.705]]}



Verdict on stability: #A comes out at the bottom.



#A
{"formula": "Nd3YSc", "functional": "GGA-PBE", "state": "relaxed", "total_magnetization_mub_per_fu": 0.0, "n_ef_per_ev_atom": 1.526, "lattice_angstrom": [[3.536, 0.000, 0.000], [0.000, 17.530, 0.000], [0.000, 0.000, 10.759]], "species": ["Nd", "Nd", "Nd", "Nd", "Nd", "Nd", "Nd", "Nd", "Nd", "Nd", "Nd", "Nd", "Y", "Y", "Y", "Y", "Sc", "Sc", "Sc", "Sc"], "frac_coords": [[0.247, 0.250, 0.000], [0.247, 0.250, 0.500], [0.252, 0.577, 0.061], [0.252, 0.577, 0.439], [0.252, 0.923, 0.561], [0.252, 0.923, 0.939], [0.748, 0.077, 0.061], [0.748, 0.077, 0.439], [0.748, 0.423, 0.561], [0.748, 0.423, 0.939], [0.753, 0.750, 0.000], [0.753, 0.750, 0.500], [0.244, 0.104, 0.750], [0.244, 0.396, 0.250], [0.756, 0.604, 0.750], [0.756, 0.896, 0.250], [0.254, 0.727, 0.250], [0.254, 0.773, 0.750], [0.746, 0.227, 0.250], [0.746, 0.273, 0.750]]}



#B
{"formula": "Nd3YSc", "functional": "GGA-PBE", "state": "relaxed", "total_magnetization_mub_per_fu": 0.0, "n_ef_per_ev_atom": 1.558, "lattice_angstrom": [[8.236, -1.780, 0.000], [8.236, 1.780, 0.000], [-5.034, 0.000, 11.060]], "species": ["Nd", "Nd", "Nd", "Nd", "Nd", "Nd", "Y", "Y", "Sc", "Sc"], "frac_coords": [[0.026, 0.026, 0.159], [0.077, 0.077, 0.453], [0.326, 0.326, 0.945], [0.674, 0.674, 0.055], [0.923, 0.923, 0.547], [0.974, 0.974, 0.841], [0.367, 0.367, 0.268], [0.633, 0.633, 0.732], [0.284, 0.284, 0.638], [0.716, 0.716, 0.362]]}



Verdict on stability: #A comes out at the bottom.



#A
{"formula": "Nd4YSc", "functional": "GGA-PBE", "state": "relaxed", "total_magnetization_mub_per_fu": 0.0, "n_ef_per_ev_atom": 1.740, "lattice_angstrom": [[5.723, -2.923, 0.000], [5.723, 2.923, 0.000], [-3.724, 0.000, 5.901]], "species": ["Nd", "Nd", "Nd", "Nd", "Y", "Sc"], "frac_coords": [[0.153, 0.153, 0.000], [0.187, 0.187, 0.541], [0.813, 0.813, 0.459], [0.847, 0.847, 0.000], [0.500, 0.500, 0.500], [0.500, 0.500, 0.000]]}



#B
{"formula": "Nd4YSc", "functional": "GGA-PBE", "state": "relaxed", "total_magnetization_mub_per_fu": 0.0, "n_ef_per_ev_atom": 1.589, "lattice_angstrom": [[2.547, -7.611, 0.000], [2.547, 7.611, 0.000], [0.000, 0.000, 5.097]], "species": ["Nd", "Nd", "Nd", "Nd", "Y", "Sc"], "frac_coords": [[0.163, 0.837, 0.000], [0.337, 0.663, 0.500], [0.663, 0.337, 0.500], [0.837, 0.163, 0.000], [0.000, 0.000, 0.500], [0.500, 0.500, 0.000]]}



Verdict on stability: #A comes out at the bottom.



#A
{"formula": "Nd7Y2Sc2", "functional": "GGA-PBE", "state": "relaxed", "total_magnetization_mub_per_fu": 0.0, "n_ef_per_ev_atom": 1.368, "lattice_angstrom": [[5.496, -5.800, 0.000], [5.496, 5.800, 0.000], [-2.202, 0.000, 5.704]], "species": ["Nd", "Nd", "Nd", "Nd", "Nd", "Nd", "Nd", "Y", "Y", "Sc", "Sc"], "frac_coords": [[0.000, 0.000, 0.000], [0.055, 0.582, 0.809], [0.418, 0.945, 0.191], [0.423, 0.423, 0.205], [0.577, 0.577, 0.795], [0.582, 0.055, 0.809], [0.945, 0.418, 0.191], [0.211, 0.211, 0.587], [0.789, 0.789, 0.413], [0.225, 0.775, 0.500], [0.775, 0.225, 0.500]]}



#B
{"formula": "Nd7Y2Sc2", "functional": "GGA-PBE", "state": "relaxed", "total_magnetization_mub_per_fu": 0.0, "n_ef_per_ev_atom": 1.511, "lattice_angstrom": [[4.221, -5.444, 0.000], [4.221, 5.444, 0.000], [-1.775, 0.000, 7.998]], "species": ["Nd", "Nd", "Nd", "Nd", "Nd", "Nd", "Nd", "Y", "Y", "Sc", "Sc"], "frac_coords": [[0.000, 0.000, 0.000], [0.080, 0.517, 0.820], [0.202, 0.202, 0.487], [0.483, 0.920, 0.180], [0.517, 0.080, 0.820], [0.798, 0.798, 0.513], [0.920, 0.483, 0.180], [0.421, 0.421, 0.182], [0.579, 0.579, 0.818], [0.288, 0.712, 0.500], [0.712, 0.288, 0.500]]}



Verdict on stability: #A comes out at the bottom.



#A
{"formula": "Nd2Y5Sc2", "functional": "GGA-PBE", "state": "relaxed", "total_magnetization_mub_per_fu": 0.0, "n_ef_per_ev_atom": 1.560, "lattice_angstrom": [[-9.750, 4.220, 3.502], [9.750, -4.220, 3.502], [9.750, 4.220, -3.502]], "species": ["Nd", "Nd", "Nd", "Nd", "Y", "Y", "Y", "Y", "Y", "Y", "Y", "Y", "Y", "Y", "Sc", "Sc", "Sc", "Sc"], "frac_coords": [[0.000, 0.000, 0.000], [0.000, 0.500, 0.500], [0.098, 0.293, 0.305], [0.988, 0.793, 0.695], [0.045, 0.458, 0.915], [0.045, 0.630, 0.086], [0.072, 0.188, 0.668], [0.072, 0.904, 0.385], [0.500, 0.299, 0.702], [0.520, 0.404, 0.332], [0.520, 0.688, 0.615], [0.543, 0.130, 0.085], [0.543, 0.958, 0.914], [0.597, 0.799, 0.298], [0.409, 0.001, 0.326], [0.409, 0.583, 0.908], [0.675, 0.083, 0.674], [0.675, 0.501, 0.092]]}



#B
{"formula": "Nd2Y5Sc2", "functional": "GGA-PBE", "state": "relaxed", "total_magnetization_mub_per_fu": 0.0, "n_ef_per_ev_atom": 1.562, "lattice_angstrom": [[6.105, 0.000, 0.000], [3.035, 5.297, 0.000], [0.003, 3.515, 8.640]], "species": ["Nd", "Nd", "Y", "Y", "Y", "Y", "Y", "Sc", "Sc"], "frac_coords": [[0.164, 0.163, 0.001], [0.836, 0.837, 0.999], [0.057, 0.723, 0.662], [0.387, 0.063, 0.662], [0.500, 0.500, 0.000], [0.613, 0.937, 0.338], [0.943, 0.277, 0.338], [0.283, 0.607, 0.339], [0.717, 0.393, 0.661]]}



Verdict on stability: #A comes out at the bottom.



#A
{"formula": "NdY3Sc2", "functional": "GGA-PBE", "state": "relaxed", "total_magnetization_mub_per_fu": 0.0, "n_ef_per_ev_atom": 1.720, "lattice_angstrom": [[9.413, 0.000, 0.000], [0.000, 3.455, 0.000], [-0.713, 0.000, 11.224]], "species": ["Nd", "Nd", "Y", "Y", "Y", "Y", "Y", "Y", "Sc", "Sc", "Sc", "Sc"], "frac_coords": [[0.240, 0.250, 0.355], [0.760, 0.750, 0.645], [0.076, 0.750, 0.121], [0.245, 0.750, 0.862], [0.402, 0.750, 0.609], [0.598, 0.250, 0.391], [0.755, 0.250, 0.138], [0.924, 0.250, 0.879], [0.083, 0.250, 0.618], [0.442, 0.750, 0.138], [0.558, 0.250, 0.862], [0.917, 0.750, 0.382]]}



#B
{"formula": "NdY3Sc2", "functional": "GGA-PBE", "state": "relaxed", "total_magnetization_mub_per_fu": 0.0, "n_ef_per_ev_atom": 1.483, "lattice_angstrom": [[-3.523, 8.482, 3.089], [3.523, -8.482, 3.089], [3.523, 8.482, -3.089]], "species": ["Nd", "Nd", "Y", "Y", "Y", "Y", "Y", "Y", "Sc", "Sc", "Sc", "Sc"], "frac_coords": [[0.273, 0.023, 0.250], [0.727, 0.977, 0.750], [0.188, 0.249, 0.938], [0.189, 0.751, 0.438], [0.227, 0.477, 0.750], [0.773, 0.523, 0.250], [0.811, 0.249, 0.562], [0.812, 0.751, 0.062], [0.356, 0.000, 0.856], [0.356, 0.500, 0.356], [0.644, 0.000, 0.144], [0.644, 0.500, 0.644]]}



Verdict on stability: #B comes out at the bottom.



#A
{"formula": "NdY4Sc2", "functional": "GGA-PBE", "state": "relaxed", "total_magnetization_mub_per_fu": 0.0, "n_ef_per_ev_atom": 1.881, "lattice_angstrom": [[5.598, 0.000, 0.000], [0.000, 6.733, 0.000], [-2.690, 0.000, 11.325]], "species": ["Nd", "Nd", "Y", "Y", "Y", "Y", "Y", "Y", "Y", "Y", "Sc", "Sc", "Sc", "Sc"], "frac_coords": [[0.004, 0.250, 0.136], [0.996, 0.750, 0.864], [0.113, 0.750, 0.157], [0.230, 0.250, 0.428], [0.348, 0.001, 0.706], [0.348, 0.499, 0.706], [0.652, 0.501, 0.294], [0.652, 0.999, 0.294], [0.770, 0.750, 0.572], [0.887, 0.250, 0.843], [0.203, 0.750, 0.434], [0.444, 0.250, 0.005], [0.556, 0.750, 0.995], [0.797, 0.250, 0.566]]}



#B
{"formula": "NdY4Sc2", "functional": "GGA-PBE", "state": "relaxed", "total_magnetization_mub_per_fu": 0.0, "n_ef_per_ev_atom": 1.505, "lattice_angstrom": [[5.840, 0.000, 0.000], [0.000, 3.519, 0.000], [-1.795, 0.000, 10.839]], "species": ["Nd", "Y", "Y", "Y", "Y", "Sc", "Sc"], "frac_coords": [[0.000, 0.000, 0.000], [0.088, 0.500, 0.270], [0.432, 0.000, 0.783], [0.568, 0.000, 0.217], [0.912, 0.500, 0.730], [0.000, 0.000, 0.500], [0.500, 0.500, 0.500]]}



Verdict on stability: #B comes out at the bottom.



#A
{"formula": "Nd7Y12Sc", "functional": "GGA-PBE", "state": "relaxed", "total_magnetization_mub_per_fu": 0.0, "n_ef_per_ev_atom": 1.484, "lattice_angstrom": [[-5.667, 5.667, 5.667], [5.667, -5.667, 5.667], [5.667, 5.667, -5.667]], "species": ["Nd", "Nd", "Nd", "Nd", "Nd", "Nd", "Nd", "Y", "Y", "Y", "Y", "Y", "Y", "Y", "Y", "Y", "Y", "Y", "Y", "Sc"], "frac_coords": [[0.000, 0.000, 0.500], [0.000, 0.500, 0.000], [0.000, 0.500, 0.500], [0.500, 0.000, 0.000], [0.500, 0.000, 0.500], [0.500, 0.500, 0.000], [0.500, 0.500, 0.500], [0.000, 0.244, 0.756], [0.000, 0.756, 0.244], [0.244, 0.000, 0.756], [0.244, 0.244, 0.488], [0.244, 0.488, 0.244], [0.244, 0.756, 0.000], [0.488, 0.244, 0.244], [0.512, 0.756, 0.756], [0.756, 0.000, 0.244], [0.756, 0.244, 0.000], [0.756, 0.512, 0.756], [0.756, 0.756, 0.512], [0.000, 0.000, 0.000]]}



#B
{"formula": "Nd7Y12Sc", "functional": "GGA-PBE", "state": "relaxed", "total_magnetization_mub_per_fu": 0.0, "n_ef_per_ev_atom": 1.706, "lattice_angstrom": [[6.371, 3.678, 4.781], [-6.371, 3.678, 4.781], [0.000, -7.356, 4.781]], "species": ["Nd", "Nd", "Nd", "Nd", "Nd", "Nd", "Nd", "Y", "Y", "Y", "Y", "Y", "Y", "Y", "Y", "Y", "Y", "Y", "Y", "Sc"], "frac_coords": [[0.000, 0.000, 0.000], [0.134, 0.454, 0.381], [0.381, 0.134, 0.454], [0.454, 0.381, 0.134], [0.546, 0.619, 0.866], [0.619, 0.866, 0.546], [0.866, 0.546, 0.619], [0.045, 0.948, 0.336], [0.052, 0.664, 0.955], [0.212, 0.362, 0.759], [0.241, 0.788, 0.638], [0.336, 0.045, 0.948], [0.362, 0.759, 0.212], [0.638, 0.241, 0.788], [0.664, 0.955, 0.052], [0.759, 0.212, 0.362], [0.788, 0.638, 0.241], [0.948, 0.336, 0.045], [0.955, 0.052, 0.664], [0.500, 0.500, 0.500]]}



Verdict on stability: #A comes out at the bottom.



#A
{"formula": "Nd6Y3Sc", "functional": "GGA-PBE", "state": "relaxed", "total_magnetization_mub_per_fu": 0.0, "n_ef_per_ev_atom": 1.495, "lattice_angstrom": [[11.697, 0.000, 0.000], [0.000, 3.574, 0.000], [-5.509, 0.000, 16.034]], "species": ["Nd", "Nd", "Nd", "Nd", "Nd", "Nd", "Nd", "Nd", "Nd", "Nd", "Nd", "Nd", "Y", "Y", "Y", "Y", "Y", "Y", "Sc", "Sc"], "frac_coords": [[0.095, 0.250, 0.456], [0.134, 0.250, 0.089], [0.141, 0.250, 0.881], [0.341, 0.750, 0.605], [0.369, 0.750, 0.821], [0.400, 0.750, 0.244], [0.600, 0.250, 0.756], [0.631, 0.250, 0.179], [0.659, 0.250, 0.395], [0.859, 0.750, 0.119], [0.866, 0.750, 0.911], [0.905, 0.750, 0.544], [0.130, 0.750, 0.285], [0.375, 0.250, 0.425], [0.381, 0.750, 0.032], [0.619, 0.250, 0.968], [0.625, 0.750, 0.575], [0.870, 0.250, 0.715], [0.143, 0.250, 0.677], [0.857, 0.750, 0.323]]}



#B
{"formula": "Nd6Y3Sc", "functional": "GGA-PBE", "state": "relaxed", "total_magnetization_mub_per_fu": 0.0, "n_ef_per_ev_atom": 1.350, "lattice_angstrom": [[5.578, -9.682, 0.000], [5.578, 9.682, 0.000], [0.000, 0.000, 6.239]], "species": ["Nd", "Nd", "Nd", "Nd", "Nd", "Nd", "Nd", "Nd", "Nd", "Nd", "Nd", "Nd", "Y", "Y", "Y", "Y", "Y", "Y", "Sc", "Sc"], "frac_coords": [[0.046, 0.954, 0.500], [0.054, 0.475, 0.073], [0.277, 0.723, 0.787], [0.291, 0.378, 0.895], [0.378, 0.291, 0.395], [0.475, 0.054, 0.573], [0.525, 0.946, 0.073], [0.622, 0.709, 0.895], [0.709, 0.622, 0.395], [0.723, 0.277, 0.287], [0.946, 0.525, 0.573], [0.954, 0.046, 0.000], [0.054, 0.276, 0.473], [0.276, 0.054, 0.973], [0.385, 0.615, 0.364], [0.615, 0.385, 0.864], [0.724, 0.946, 0.473], [0.946, 0.724, 0.973], [0.204, 0.796, 0.309], [0.796, 0.204, 0.809]]}



Verdict on stability: #B comes out at the bottom.